(1)
# CeTmMg2 PBE relaxed
# Energy relative to the elements (eV/f.u.): 0.1
# N(E_F) (states/eV/cell): 7.3
# SG: No. 123
# Crystal system: tetragonal
data_CeTmMg2
_cell_length_a 5.381
_cell_length_b 5.381
_cell_length_c 3.752
_cell_angle_alpha 90.00
_cell_angle_beta 90.00
_cell_angle_gamma 90.00
_space_group_name_H-M_alt 'P 1'
_space_group_IT_number 1
_space_group_name_Hall 'P 1'
loop_
_atom_site_label
_atom_site_fract_x
_atom_site_fract_y
_atom_site_fract_z
_atom_site_occupancy
Ce1 0.000 0.000 0.000 1
Tm1 0.500 0.500 0.000 1
Mg1 0.000 0.500 0.500 1
Mg2 0.500 0.000 0.500 1

---

(2)
# CeTmMg PBE relaxed
# Energy relative to the elements (eV/f.u.): 0.0
# N(E_F) (states/eV/cell): 10.7
# SG: No. 129
# Crystal system: tetragonal
data_CeTmMg
_cell_length_a 3.410
_cell_length_b 3.410
_cell_length_c 13.857
_cell_angle_alpha 90.00
_cell_angle_beta 90.00
_cell_angle_gamma 90.00
_space_group_name_H-M_alt 'P 1'
_space_group_IT_number 1
_space_group_name_Hall 'P 1'
loop_
_atom_site_label
_atom_site_fract_x
_atom_site_fract_y
_atom_site_fract_z
_atom_site_occupancy
Ce1 0.250 0.250 0.082 1
Ce2 0.750 0.750 0.918 1
Tm1 0.250 0.250 0.740 1
Tm2 0.750 0.750 0.260 1
Mg1 0.250 0.250 0.428 1
Mg2 0.750 0.750 0.572 1

---

Q: Look up the energy relative to the elements of the second one.
A: 0.0 eV/f.u.

---

Please write out number 2 again, unchanged.
# CeTmMg PBE relaxed
# Energy relative to the elements (eV/f.u.): 0.0
# N(E_F) (states/eV/cell): 10.7
# SG: No. 129
# Crystal system: tetragonal
data_CeTmMg
_cell_length_a 3.410
_cell_length_b 3.410
_cell_length_c 13.857
_cell_angle_alpha 90.00
_cell_angle_beta 90.00
_cell_angle_gamma 90.00
_space_group_name_H-M_alt 'P 1'
_space_group_IT_number 1
_space_group_name_Hall 'P 1'
loop_
_atom_site_label
_atom_site_fract_x
_atom_site_fract_y
_atom_site_fract_z
_atom_site_occupancy
Ce1 0.250 0.250 0.082 1
Ce2 0.750 0.750 0.918 1
Tm1 0.250 0.250 0.740 1
Tm2 0.750 0.750 0.260 1
Mg1 0.250 0.250 0.428 1
Mg2 0.750 0.750 0.572 1

---

Q: Look up the N(E_F) of the first one.
A: 7.3 states/eV/cell